# 1
## LaTaSn2Sb (PBE-GGA)

Data for LaTaSn2Sb after structural relaxation.

- total moment (μB/atom) = 0.1286
- calculated volume (Å³/f.u.) = 195
- energy above the lowest structure with this stoichiometry (eV/atom) = 0.2008
- electronic total energy (eV per atom) = -4.114
- raw formation energy (kJ/mol of formula units) = 804
- D(E_F) (states/eV/cell) = 8.0

Unit cell a=5.7923 b=5.7923 c=5.8089 alpha=90.00 beta=90.00 gamma=90.00
Closest atoms and distances in Å follow each position.
Space group P4/mmm (No. 123)
Asymmetric unit:
La: 0.0000 0.0000 0.0000  4 Sn 2.90, 2 Sb 2.90
Ta: 0.5000 0.5000 0.5000  4 Sb 4.10, 8 Sn 4.10
Sn: 0.0000 0.5000 0.0000  2 La 2.90
Sb: 0.0000 0.0000 0.5000  2 La 2.90

# 2
## TbZnPd6 (PBE-GGA)

Data for TbZnPd6 after structural relaxation.

- total moment (μB/atom) = 0.0000
- calculated volume (Å³/f.u.) = 149
- energy above the lowest structure with this stoichiometry (eV/atom) = 0.2909
- electronic total energy (eV per atom) = -4.911
- energy of formation from the pure elements (kcal/mol of atoms) = -6.42
- D(E_F) (states/eV/cell) = 7.7

Unit cell a=8.1534 b=5.3564 c=7.2952 alpha=90.00 beta=110.37 gamma=90.00
Closest atoms and distances in Å follow each position.
Space group C2/m (No. 12)
Asymmetric unit:
Tb: 0.0000 0.0000 0.0000  10 Pd 2.81-3.01
Zn: 0.0000 0.5000 0.5000  6 Pd 2.55-2.75
Pd: 0.1474 0.0000 0.4397  3 Zn 2.75-3.03, 7 Pd 2.79-2.98, 1 Tb 3.01
Pd: 0.1896 0.2439 0.7916  1 Zn 2.55, 5 Pd 2.61-2.85, 2 Tb 2.81-2.84

# 3
## PaFe4Si4 (PBE-GGA)

Data for PaFe4Si4 after structural relaxation.

- total moment (μB/atom) = 0.0001
- calculated volume (Å³/f.u.) = 121
- electronic total energy (eV per atom) = -7.645
- raw formation energy (kJ/mol of formula units) = -363
- D(E_F) (states/eV/cell) = 15.1

Unit cell a=5.5407 b=5.5407 c=7.8577 alpha=90.00 beta=90.00 gamma=90.00
Closest atoms and distances in Å follow each position.
Space group P4_2/nmc (No. 137, origin choice 2)
Asymmetric unit:
Pa: 0.2500 0.7500 0.2500  4 Si 2.96, 8 Fe 3.18
Fe: 0.0155 0.2500 0.1404  5 Si 2.27-2.37
Si: 0.0429 0.2500 0.4344  5 Fe 2.27-2.37, 1 Si 2.30

# 4
## Ti4Nb3Rh (PBE-GGA)

Data for Ti4Nb3Rh after structural relaxation.

- total moment (μB/atom) = 0.0000
- calculated volume (Å³/f.u.) = 134
- electronic total energy (eV per atom) = -8.831
- energy of formation from the pure elements (kcal/mol of atoms) = -4.36
- D(E_F) (states/eV/cell) = 12.8

Unit cell a=3.1930 b=4.5634 c=9.2043 alpha=90.00 beta=90.00 gamma=90.00
Closest atoms and distances in Å follow each position.
Space group Pmmm (No. 47)
Asymmetric unit:
Ti: 0.0000 0.0000 0.0000  4 Rh 2.78, 4 Nb 2.81
Ti: 0.0000 0.0000 0.5000  8 Nb 2.78-2.79
Ti: 0.0000 0.5000 0.2341  2 Rh 2.68, 6 Nb 2.79-2.92
Nb: 0.5000 0.0000 0.2508  8 Ti 2.79-2.81
Nb: 0.5000 0.5000 0.5000  8 Ti 2.78-2.92
Rh: 0.5000 0.5000 0.0000  8 Ti 2.68-2.78

# 5
## InAs2Os (PBE-GGA)

Data for InAs2Os after structural relaxation.

- total moment (μB/atom) = 0.0001
- calculated volume (Å³/f.u.) = 82
- electronic total energy (eV per atom) = -5.685
- energy of formation from the pure elements (kcal/mol of atoms) = 3.05
- D(E_F) (states/eV/cell) = 2.8

Unit cell a=3.0085 b=3.0085 c=9.0586 alpha=90.00 beta=90.00 gamma=90.00
Closest atoms and distances in Å follow each position.
Space group P4/mmm (No. 123)
Asymmetric unit:
In: 0.0000 0.0000 0.0000  4 In 3.01
As: 0.5000 0.5000 0.3250  4 Os 2.65
Os: 0.0000 0.0000 0.5000  8 As 2.65

# 6
## ScIr2Ru (PBE-GGA)

Data for ScIr2Ru after structural relaxation.

- total moment (μB/atom) = 0.2364
- calculated volume (Å³/f.u.) = 64
- energy above the lowest structure with this stoichiometry (eV/atom) = 0.3488
- electronic total energy (eV per atom) = -8.426
- energy of formation from the pure elements (kcal/mol of atoms) = -2.17
- D(E_F) (states/eV/cell) = 6.2

Unit cell a=3.3069 b=3.3069 c=5.8292 alpha=90.00 beta=90.00 gamma=90.00
Closest atoms and distances in Å follow each position.
Space group P4mm (No. 99)
Asymmetric unit:
Sc: 0.0000 0.0000 0.0000  6 Ir 2.77-2.95, 4 Ru 2.86
Ir: 0.0000 0.0000 0.5063  4 Ru 2.65, 4 Ir 2.76, 2 Sc 2.88-2.95
Ir: 0.5000 0.5000 0.2547  1 Ru 2.70, 4 Ir 2.76, 4 Sc 2.77
Ru: 0.5000 0.5000 0.7186  5 Ir 2.65-2.70, 4 Sc 2.86

# 7
## InSbTe (PBE-GGA)

Data for InSbTe after structural relaxation.

- total moment (μB/atom) = 0.0000
- calculated volume (Å³/f.u.) = 91
- energy above the lowest structure with this stoichiometry (eV/atom) = 0.1687
- electronic total energy (eV per atom) = -3.264
- raw formation energy (kJ/mol of formula units) = 20
- D(E_F) (states/eV/cell) = 2.9

Unit cell a=3.9671 b=3.9671 c=11.5028 alpha=90.00 beta=90.00 gamma=90.00
Closest atoms and distances in Å follow each position.
Space group I4mm (No. 107)
Asymmetric unit:
In: 0.0000 0.0000 0.0000  5 Te 3.52-3.59, 5 Sb 3.52-3.62
Sb: 0.0000 0.0000 0.6851  4 Te 3.13
Te: 0.0000 0.0000 0.3056  4 Sb 3.13

# 8
## AcLaTeSe (PBE-GGA)

Data for AcLaTeSe after structural relaxation.

- total moment (μB/atom) = 0.0568
- calculated volume (Å³/f.u.) = 119
- energy above the lowest structure with this stoichiometry (eV/atom) = 0.2131
- electronic total energy (eV per atom) = -5.442
- raw formation energy (kJ/mol of formula units) = -589
- D(E_F) (states/eV/cell) = 13.3

Unit cell a=7.8047 b=7.8047 c=7.8047 alpha=90.00 beta=90.00 gamma=90.00
Closest atoms and distances in Å follow each position.
Space group F-43m (No. 216)
Asymmetric unit:
Ac: 0.0000 0.0000 0.0000  4 Se 3.38, 4 Te 3.38
La: 0.0000 0.0000 0.5000  4 Se 3.38, 4 Te 3.38
Te: 0.2500 0.2500 0.7500  4 Ac 3.38, 4 La 3.38
Se: 0.2500 0.2500 0.2500  4 Ac 3.38, 4 La 3.38